# NaPtW3 (PBE-GGA, optimized geometry)
data_NaPtW3
_cell_length_a 4.8665
_cell_length_b 4.8665
_cell_length_c 4.8665
_cell_angle_alpha 90.00
_cell_angle_beta 90.00
_cell_angle_gamma 90.00
_space_group_name_H-M_alt 'P m -3 m'
_space_group_IT_number 221
_space_group_name_Hall '-P 4 2 3'
loop_
_atom_site_label
_atom_site_type_symbol
_atom_site_fract_x
_atom_site_fract_y
_atom_site_fract_z
Na1 Na 0.0000 0.0000 0.0000
Pt1 Pt 0.5000 0.5000 0.5000
W1 W 0.0000 0.5000 0.5000
# total DFT energy (no corrections)	-7.110	eV per atom
# ρ	11.09	g/cm3
# energy relative to the elements	2134	meV per atom
# excess energy over the best structure of this formula in the dataset	0.0	kJ/mol of atoms
# calculated volume	115	Å³/cell